This record from the Alexandria database describes an optimized crystal structure of KLiOsO4. The functional is PBE-GGA.

a b c (Å): 5.589 5.589 5.589
angles (deg): 115.18 115.18 98.57
Fractional coordinates of all 7 atoms:
1 K 0.000 0.000 0.000
2 Li 0.500 0.500 0.000
3 Os 0.750 0.250 0.500
4 O 0.091 0.442 0.873
5 O 0.558 0.431 0.649
6 O 0.569 0.218 0.127
7 O 0.782 0.909 0.351

Theoretical density (g cm⁻³): 3.81
E_form (uncorrected) (eV/atom): -1.396
E_tot (eV/atom): -6.264


This record from the Alexandria database describes an optimized crystal structure of BaAgI2N. The functional is PBE-GGA.

a b c (Å): 6.096 6.096 4.281
angles (deg): 90.00 90.00 90.00
Fractional coordinates of all 5 atoms:
1 Ba 0.000 0.000 0.000
2 Ag 0.500 0.500 0.500
3 I 0.000 0.500 0.500
4 I 0.500 0.000 0.500
5 N 0.500 0.500 0.000

Theoretical density (g cm⁻³): 5.36
E_form (uncorrected) (eV/atom): -0.065
E_tot (eV/atom): -3.305
Distance to the lowest polymorph of the same formula (meV per atom): 0.0


This record from the Alexandria database describes an optimized crystal structure of YH2I. The functional is PBE-GGA.

a b c (Å): 7.436 7.436 7.436
angles (deg): 142.33 142.33 54.33
Fractional coordinates of all 8 atoms:
1 Y 0.375 0.625 0.750
2 Y 0.625 0.375 0.250
3 H 0.000 0.500 0.500
4 H 0.500 0.000 0.000
5 H 0.500 0.500 0.000
6 H 0.500 0.500 0.500
7 I 0.125 0.875 0.250
8 I 0.875 0.125 0.750

Theoretical density (g cm⁻³): 4.74
E_tot (eV/atom): -4.284
Distance to the lowest polymorph of the same formula (meV per atom): 161.7


This record from the Alexandria database describes an optimized crystal structure of CaPmEuSc. The functional is PBE-GGA.

a b c (Å): 5.777 5.777 5.777
angles (deg): 60.00 60.00 60.00
Fractional coordinates of all 4 atoms:
1 Ca 0.000 0.000 0.000
2 Pm 0.250 0.250 0.250
3 Eu 0.750 0.750 0.750
4 Sc 0.500 0.500 0.500

Theoretical density (g cm⁻³): 4.65
E_tot (eV/atom): -5.664
Calculated formation energy (eV per atom): 0.18


This record from the Alexandria database describes an optimized crystal structure of ZrHg2Cl. The functional is PBE-GGA.

a b c (Å): 3.334 3.334 8.264
angles (deg): 90.00 90.00 90.00
Fractional coordinates of all 4 atoms:
1 Zr 0.000 0.000 0.000
2 Hg 0.500 0.500 0.242
3 Hg 0.500 0.500 0.758
4 Cl 0.000 0.000 0.500

Theoretical density (g cm⁻³): 9.54
E_form (uncorrected) (eV/atom): -0.123
E_tot (eV/atom): -2.873
Distance to the lowest polymorph of the same formula (meV per atom): 414.5


This record from the Alexandria database describes an optimized crystal structure of MnH2Cl4. The functional is PBE-GGA.

a b c (Å): 10.790 10.790 10.790
angles (deg): 154.19 154.19 36.83
Fractional coordinates of all 7 atoms:
1 Mn 0.000 0.000 0.000
2 H 0.260 0.260 0.000
3 H 0.740 0.740 0.000
4 Cl 0.000 0.500 0.500
5 Cl 0.197 0.197 0.000
6 Cl 0.500 0.000 0.500
7 Cl 0.803 0.803 0.000

Theoretical density (g cm⁻³): 1.39
E_tot (eV/atom): -3.926
Distance to the lowest polymorph of the same formula (meV per atom): 136.0


This record from the Alexandria database describes an optimized crystal structure of Sc2ZnBi. The functional is PBE-GGA.

a b c (Å): 6.327 6.327 6.327
angles (deg): 105.40 105.40 117.96
Fractional coordinates of all 8 atoms:
1 Sc 0.101 0.625 0.976
2 Sc 0.375 0.351 0.476
3 Sc 0.649 0.125 0.024
4 Sc 0.875 0.899 0.524
5 Zn 0.000 0.000 0.000
6 Zn 0.750 0.250 0.500
7 Bi 0.250 0.750 0.500
8 Bi 0.500 0.500 0.000

Theoretical density (g cm⁻³): 6.31
E_tot (eV/atom): -4.621
Distance to the lowest polymorph of the same formula (meV per atom): 205.8
Calculated formation energy (eV per atom): -0.17


This record from the Alexandria database describes an optimized crystal structure of CaMnSi2. The functional is PBE-GGA.

a b c (Å): 5.927 5.927 5.927
angles (deg): 39.01 39.01 39.01
Fractional coordinates of all 4 atoms:
1 Ca 0.000 0.000 0.000
2 Mn 0.183 0.183 0.183
3 Si 0.543 0.543 0.543
4 Si 0.807 0.807 0.807

Theoretical density (g cm⁻³): 3.38
E_form (uncorrected) (eV/atom): -0.204
E_tot (eV/atom): -5.708


This record from the Alexandria database describes an optimized crystal structure of RbMnRe2S8. The functional is PBE-GGA.

a b c (Å): 9.750 9.750 9.750
angles (deg): 36.68 36.68 36.68
Fractional coordinates of all 12 atoms:
1 Rb 0.000 0.000 0.000
2 Mn 0.500 0.500 0.500
3 Re 0.241 0.241 0.241
4 Re 0.759 0.759 0.759
5 S 0.140 0.468 0.745
6 S 0.255 0.860 0.532
7 S 0.320 0.320 0.320
8 S 0.468 0.745 0.140
9 S 0.532 0.255 0.860
10 S 0.680 0.680 0.680
11 S 0.745 0.140 0.468
12 S 0.860 0.532 0.255

Theoretical density (g cm⁻³): 4.31
E_form (uncorrected) (eV/atom): -0.355
E_tot (eV/atom): -6.026


What is the formula in the fifth record? ZrHg2Cl